Record 1
A plane-wave DFT calculation with PBE was carried out for a geometry-optimized Os2AuCl structure.

Properties
Excess energy over the best structure of this formula in the dataset ... 2.09 eV per formula unit
Energy relative to the elements, uncorrected ... 0.8509 eV/atom
Crystal system ... monoclinic

```
Os2AuCl
1.0
5.5019 0.1475 0.9964
4.7266 2.8200 0.9964
4.9915 1.4482 7.1541
Au Os Cl
1 2 1
direct
0.7500 0.7500 0.7500
0.9666 0.9666 0.8918
0.5334 0.5334 0.6082
0.2500 0.2500 0.2500
```

Record 2
A plane-wave DFT calculation with PBE was carried out for a geometry-optimized InCSN2 structure.

Properties
Excess energy over the best structure of this formula in the dataset ... 4.30 eV per formula unit
Energy relative to the elements, uncorrected ... 2.7825 eV/atom
Crystal system ... tetragonal

```
InCSN2
1.0
-0.3598 -0.5124 -4.1773
-3.7502 -1.8636 0.5516
-2.4221 4.7629 -0.3756
S N C In
1 2 1 1
direct
0.0000 0.0000 0.5000
0.5000 0.0000 0.0000
0.0000 0.5000 0.0000
0.5000 0.5000 0.5000
0.0000 0.0000 0.0000
```

Record 3
A plane-wave DFT calculation with PBE was carried out for a geometry-optimized Dy2Ho6Tm3 structure.

Properties
Excess energy over the best structure of this formula in the dataset ... 0.00 eV per formula unit
Crystal system ... trigonal
Calculated formation energy ... 0.02 eV/atom

```
Dy2Ho6Tm3
1.0
-1.3411 0.7945 3.1471
0.6045 -2.1020 2.7478
25.6605 16.0155 8.8508
Tm Ho Dy
3 6 2
direct
0.0000 0.0000 0.0000
0.7270 0.7270 0.8189
0.2730 0.2730 0.1811
0.3635 0.3635 0.9094
0.0905 0.0905 0.7285
0.1818 0.1818 0.4545
0.9095 0.9095 0.2715
0.8182 0.8182 0.5455
0.6365 0.6365 0.0906
0.4543 0.4543 0.6370
0.5457 0.5457 0.3630
```

Record 4
A plane-wave DFT calculation with PBE was carried out for a geometry-optimized BaEuSn4 structure.

Properties
Crystal system ... cubic
Calculated formation energy ... -0.52 eV/atom

```
BaEuSn4
1.0
-6.1746 1.7480 0.1727
-4.6016 -4.3716 -0.9622
-3.7282 -1.8638 4.8824
Sn Eu Ba
4 1 1
direct
0.1269 0.6244 0.6244
0.6244 0.6244 0.6244
0.6244 0.1269 0.6244
0.6244 0.6244 0.1269
0.2500 0.2500 0.2500
0.0000 0.0000 0.0000
```

Record 5
A plane-wave DFT calculation with PBE was carried out for a geometry-optimized LaCuRh structure.

Properties
Excess energy over the best structure of this formula in the dataset ... 0.39 eV per formula unit
Crystal system ... orthorhombic
Calculated formation energy ... -0.37 eV/atom

```
LaCuRh
1.0
-2.4988 1.6452 2.3390
-2.8366 -0.1546 -2.9217
-1.0146 -7.9203 1.4041
La Cu Rh
2 2 2
direct
0.0940 0.7500 0.1879
0.9060 0.2500 0.8121
0.7498 0.7500 0.4997
0.2502 0.2500 0.5003
0.6327 0.2500 0.2655
0.3673 0.7500 0.7345
```

Record 6
A plane-wave DFT calculation with PBE was carried out for a geometry-optimized LaAl2Se structure.

Properties
Excess energy over the best structure of this formula in the dataset ... 1.03 eV per formula unit
Energy relative to the elements, uncorrected ... -0.3622 eV/atom
Crystal system ... tetragonal

```
LaAl2Se
1.0
-4.2283 1.3385 -6.9328
-3.0553 -7.6320 0.3899
-5.9232 -2.1525 -1.6881
Al Se La
4 2 2
direct
0.8750 0.8313 0.7500
0.3750 0.4187 0.7500
0.1687 0.6250 0.2500
0.5813 0.1250 0.2500
0.2500 0.7500 0.5000
0.5000 0.5000 0.0000
0.0000 0.0000 0.0000
0.7500 0.2500 0.5000
```

Record 7
A plane-wave DFT calculation with PBE was carried out for a geometry-optimized TaW2Au structure.

Properties
Excess energy over the best structure of this formula in the dataset ... 0.80 eV per formula unit
Crystal system ... tetragonal
Calculated formation energy ... 0.30 eV/atom

```
TaW2Au
1.0
-3.8106 2.6160 -2.1261
-4.5590 -1.5020 1.6863
4.3289 1.3495 2.3074
W Ta Au
2 1 1
direct
0.5000 0.5000 0.0000
0.0000 0.0000 0.0000
0.7500 0.2500 0.5000
0.2500 0.7500 0.5000
```

Record 8
A plane-wave DFT calculation with PBE was carried out for a geometry-optimized BeAs2Pb2 structure.

Properties
Crystal system ... tetragonal
Calculated formation energy ... 0.12 eV/atom

```
BeAs2Pb2
1.0
6.2530 0.0000 0.0000
0.0000 6.2530 0.0000
0.0000 0.0000 6.0823
Pb As Be
4 4 2
direct
0.8096 0.6904 0.5000
0.3096 0.8096 0.5000
0.1904 0.3096 0.5000
0.6904 0.1904 0.5000
0.8590 0.6410 0.0000
0.1410 0.3590 0.0000
0.3590 0.8590 0.0000
0.6410 0.1410 0.0000
0.5000 0.5000 0.0000
0.0000 0.0000 0.0000
```